VASP calculation (PBE-GGA) on Th5Sn3Hg12 after structural relaxation.

Cell and atoms, written as POSCAR:
```
Th5Sn3Hg12
1.0
-12.9330 -0.1099 -7.9499
-1.6380 -8.5369 12.4464
3.3360 14.2487 4.0397
Hg Th Sn
48 20 12
Direct
0.6001 0.8607 0.4351
0.9256 0.3607 0.2606
0.7606 0.4256 0.3607
0.5744 0.3350 0.9351
0.7394 0.1393 0.0744
0.6650 0.4256 0.5649
0.4351 0.3607 0.6001
0.8350 0.9351 0.0744
0.4256 0.6650 0.0649
0.3999 0.1393 0.5649
0.7394 0.6001 0.1650
0.3999 0.2606 0.3350
0.2606 0.8607 0.9256
0.7606 0.3350 0.8999
0.6393 0.5649 0.8999
0.5744 0.2394 0.1393
0.0744 0.6393 0.7394
0.9351 0.1001 0.8607
0.0649 0.8999 0.1393
0.4351 0.0744 0.3350
0.1393 0.3999 0.0649
0.8350 0.8999 0.2606
0.2394 0.6650 0.1001
0.5649 0.9256 0.6650
0.3350 0.7606 0.3999
0.6001 0.7394 0.6650
0.9351 0.8350 0.5744
0.2394 0.5744 0.6393
0.0649 0.1650 0.4256
0.0744 0.4351 0.8350
0.1393 0.7394 0.5744
0.8607 0.6001 0.9351
0.5649 0.6393 0.3999
0.1650 0.0649 0.9256
0.6650 0.2394 0.6001
0.6393 0.0744 0.2394
0.2606 0.3999 0.8350
0.1650 0.1001 0.7394
0.1001 0.9351 0.3607
0.3607 0.9256 0.7606
0.1001 0.1650 0.2394
0.9256 0.5649 0.1650
0.4256 0.7606 0.8607
0.8999 0.8350 0.7606
0.3350 0.5744 0.4351
0.3607 0.4351 0.1001
0.8999 0.0649 0.6393
0.8607 0.2606 0.4256
0.3750 0.1250 0.7500
0.6250 0.8750 0.2500
0.1250 0.7500 0.3750
0.2500 0.3750 0.6250
0.5000 0.0000 0.5000
0.7500 0.6250 0.3750
0.8750 0.6250 0.7500
0.2500 0.8750 0.1250
0.0000 0.0000 0.0000
0.6250 0.7500 0.8750
0.0000 0.5000 0.5000
0.3750 0.2500 0.1250
0.5000 0.5000 0.0000
0.0000 0.5000 0.0000
0.1250 0.3750 0.2500
0.5000 0.5000 0.5000
0.7500 0.1250 0.8750
0.8750 0.2500 0.6250
0.5000 0.0000 0.0000
0.0000 0.0000 0.5000
0.3750 0.6250 0.2500
0.2500 0.6250 0.8750
0.6250 0.2500 0.3750
0.8750 0.7500 0.1250
0.7500 0.8750 0.6250
0.6250 0.3750 0.7500
0.1250 0.2500 0.8750
0.3750 0.7500 0.6250
0.2500 0.1250 0.3750
0.8750 0.1250 0.2500
0.1250 0.8750 0.7500
0.7500 0.3750 0.1250
```

## Properties
SG ... Ia-3d (230)
DOS at the Fermi energy ... 63.6 states/eV/cell
Formation enthalpy at 0 K ... 0.342 eV per atom
M_tot ... 0.00 μB/cell